No. 1
Below is a geometry-optimized Zr2SbBr structure, with properties calculated at the PBEsol level.

Values from the calculation:
Space group = I-42d, No. 122
E_form (uncorrected) = -0.002 eV/atom
Total DFT energy (no corrections) = -6.1539 eV per atom

Unit cell a=4.867 b=4.867 c=9.408 alpha=104.99 beta=104.99 gamma=90.00
Sites, in units of the cell vectors:
1 Sb 0.250 0.750 0.500
2 Sb 0.000 0.000 0.000
3 Br 0.750 0.250 0.500
4 Br 0.500 0.500 0.000
5 Zr 0.391 0.875 0.250
6 Zr 0.859 0.375 0.250
7 Zr 0.125 0.141 0.750
8 Zr 0.625 0.609 0.750



No. 2
Below is a geometry-optimized CsCo3Ir structure, with properties calculated at the PBEsol level.

Values from the calculation:
Space group = Pm-3m, No. 221
Formation energy = 1.37 eV per atom
Total DFT energy (no corrections) = -5.4249 eV per atom

Unit cell a=4.719 b=4.719 c=4.719 alpha=90.00 beta=90.00 gamma=90.00
Last column: magnetic moment on the atom in μB.
Sites, in units of the cell vectors:
1 Cs 0.500 0.500 0.500  -0.02
2 Ir 0.000 0.000 0.000  0.70
3 Co 0.000 0.500 0.000  1.97
4 Co 0.000 0.000 0.500  1.97
5 Co 0.500 0.000 0.000  1.97



Q: Among the records above, which one has the lowest total DFT energy (no corrections)?
A: Zr2SbBr



Repeat the first record exactly.
Below is a geometry-optimized Zr2SbBr structure, with properties calculated at the PBEsol level.

Values from the calculation:
Space group = I-42d, No. 122
E_form (uncorrected) = -0.002 eV/atom
Total DFT energy (no corrections) = -6.1539 eV per atom

Unit cell a=4.867 b=4.867 c=9.408 alpha=104.99 beta=104.99 gamma=90.00
Sites, in units of the cell vectors:
1 Sb 0.250 0.750 0.500
2 Sb 0.000 0.000 0.000
3 Br 0.750 0.250 0.500
4 Br 0.500 0.500 0.000
5 Zr 0.391 0.875 0.250
6 Zr 0.859 0.375 0.250
7 Zr 0.125 0.141 0.750
8 Zr 0.625 0.609 0.750



Q: Number 1 is which compound?
A: Zr2SbBr